The following is a DFT calculation (PBE-GGA) of a relaxed structure of Ca3Al3Pd.

Cell and atoms, written as POSCAR:
```
Ca3Al3Pd
1.0
5.704 -2.109 0.000
5.704 2.109 0.000
-4.817 0.000 14.634
Ca Al Pd
6 6 2
direct
0.009 0.009 0.385
0.116 0.116 0.923
0.246 0.246 0.233
0.754 0.754 0.767
0.884 0.884 0.077
0.991 0.991 0.615
0.318 0.318 0.463
0.403 0.403 0.923
0.463 0.463 0.765
0.537 0.537 0.235
0.597 0.597 0.077
0.682 0.682 0.537
0.275 0.275 0.618
0.725 0.725 0.382
```

Values from the calculation:
Magnetization ... 0.0 μB/cell
ΔE_f ... -0.426 eV/atom

The following is a DFT calculation (PBE-GGA) of a relaxed structure of Cs2CdGaBi2.

Cell and atoms, written as POSCAR:
```
Cs2CdGaBi2
1.0
-3.717 8.818 3.708
3.717 -8.818 3.708
3.717 8.818 -3.708
Cs Cd Ga Bi
4 2 2 4
direct
0.165 0.248 0.412
0.335 0.748 0.083
0.665 0.252 0.917
0.835 0.752 0.588
0.250 0.250 0.000
0.750 0.750 0.000
0.250 0.750 0.500
0.750 0.250 0.500
0.090 0.741 0.831
0.410 0.241 0.651
0.590 0.759 0.349
0.910 0.259 0.169
```

Values from the calculation:
Magnetization ... 0.0 μB/cell
ΔE_f ... -0.312 eV/atom

The following is a DFT calculation (PBE-GGA) of a relaxed structure of BeCd2Te.

Cell and atoms, written as POSCAR:
```
BeCd2Te
1.0
7.215 0.000 0.000
0.000 7.215 0.000
0.000 0.000 7.215
Be Cd Te
4 8 4
direct
0.000 0.000 0.000
0.000 0.500 0.500
0.500 0.000 0.500
0.500 0.500 0.000
0.250 0.250 0.250
0.250 0.250 0.750
0.250 0.750 0.250
0.250 0.750 0.750
0.750 0.250 0.250
0.750 0.250 0.750
0.750 0.750 0.250
0.750 0.750 0.750
0.000 0.000 0.500
0.000 0.500 0.000
0.500 0.000 0.000
0.500 0.500 0.500
```

Values from the calculation:
Formation energy (no corrections) ... 0.581 eV/atom
Energy above the most stable polymorph in this dataset ... 417.1 meV/atom
Magnetization ... 0.0 μB/cell

The following is a DFT calculation (PBE-GGA) of a relaxed structure of GaCuSeN2.

Cell and atoms, written as POSCAR:
```
GaCuSeN2
1.0
3.741 0.000 0.000
0.000 3.741 0.000
0.000 0.000 5.884
Ga Cu Se N
1 1 1 2
direct
0.000 0.000 0.000
0.500 0.500 0.500
0.500 0.500 0.000
0.000 0.500 0.500
0.500 0.000 0.500
```

Values from the calculation:
Formation energy (no corrections) ... 1.293 eV/atom
Energy above the most stable polymorph in this dataset ... 42.3 meV/atom
Magnetization ... 3.1 μB/cell

The following is a DFT calculation (PBE-GGA) of a relaxed structure of Pr2DyBi2.

Cell and atoms, written as POSCAR:
```
Pr2DyBi2
1.0
-4.391 6.157 3.260
4.391 -6.157 3.260
4.391 6.157 -3.260
Pr Dy Bi
4 2 4
direct
0.151 0.144 0.295
0.349 0.644 0.993
0.651 0.356 0.007
0.849 0.856 0.705
0.250 0.750 0.500
0.750 0.250 0.500
0.108 0.777 0.885
0.392 0.277 0.669
0.608 0.723 0.331
0.892 0.223 0.115
```

Values from the calculation:
Magnetization ... 0.0 μB/cell
ΔE_f ... -0.634 eV/atom

The following is a DFT calculation (PBE-GGA) of a relaxed structure of ZrMn2NbAl.

Cell and atoms, written as POSCAR:
```
ZrMn2NbAl
1.0
4.683 0.000 0.000
0.000 4.683 0.000
0.000 0.000 4.975
Zr Mn Nb Al
1 2 1 1
direct
0.000 0.000 0.000
0.000 0.500 0.000
0.500 0.000 0.000
0.000 0.000 0.500
0.500 0.500 0.500
```

Values from the calculation:
Magnetization ... 5.9 μB/cell
ΔE_f ... 1.456 eV/atom

no.,total DFT energy (no corrections) (eV/atom)
1,-3.630
2,-2.547
3,-1.593
4,-4.158
5,-5.019
6,-6.684